First-principles (PBE-GGA) data for a geometry-optimized CuSb2P2 structure, as listed in Alexandria.

Volume, Å³ per atom: 20.6
DOS(E_F), states/eV per cell: 5.190
ΔE to the lowest computed polymorph, meV per atom: 133
Calculated total energy, eV per atom: -4.222

Cell: 7.2413 7.2413 3.9361 Å, 90.00 90.00 90.00°
With the nearest neighbours (Å) after each atom.
Space group P4/mbm (No. 127)
Inequivalent atoms, fractional coordinates:
Cu 0.0000 0.0000 0.0000 (multiplicity 2)  4 P 2.68
Sb 0.1608 0.3392 0.5000 (multiplicity 4)  2 P 2.61
P 0.1720 0.6720 0.0000 (multiplicity 4)  2 Sb 2.61, 2 Cu 2.68

---

First-principles (PBE-GGA) data for a geometry-optimized Cu2SbP structure, as listed in Alexandria.

Volume, Å³ per atom: 16.5
DOS(E_F), states/eV per cell: 4.248
ΔE to the lowest computed polymorph, meV per atom: 265
Calculated total energy, eV per atom: -4.059

Cell: 3.8641 3.8641 8.8379 Å, 90.00 90.00 90.00°
With the nearest neighbours (Å) after each atom.
Space group I-4m2 (No. 119)
Inequivalent atoms, fractional coordinates:
Cu 0.0000 0.0000 0.0000 (multiplicity 2)  4 Sb 2.73, 4 Cu 2.94, 4 P 2.94
Cu 0.0000 0.5000 0.2500 (multiplicity 2)  4 P 2.73, 4 Sb 2.94, 4 Cu 2.94
Sb 0.0000 0.0000 0.5000 (multiplicity 2)  8 Cu 2.73-2.94, 4 P 2.94
P 0.0000 0.5000 0.7500 (multiplicity 2)  8 Cu 2.73-2.94, 4 Sb 2.94

---

First-principles (PBE-GGA) data for a geometry-optimized Cu2Sb2P structure, as listed in Alexandria.

Volume, Å³ per atom: 23.1
DOS(E_F), states/eV per cell: 2.706
Calculated total energy, eV per atom: -4.059

Cell: 4.6620 4.6620 10.6371 Å, 90.00 90.00 90.00°
With the nearest neighbours (Å) after each atom.
Space group P4/nmm (No. 129, origin choice 2)
Inequivalent atoms, fractional coordinates:
Cu 0.2500 0.2500 0.1157 (multiplicity 2)  5 Sb 2.58-2.64
Cu 0.2500 0.7500 0.5000 (multiplicity 2)  4 P 2.57, 4 Sb 2.78
Sb 0.2500 0.2500 0.3579 (multiplicity 2)  5 Cu 2.58-2.78, 1 P 2.59
Sb 0.2500 0.7500 0.0000 (multiplicity 2)  4 Cu 2.64
P 0.2500 0.2500 0.6019 (multiplicity 2)  4 Cu 2.57, 1 Sb 2.59